# Ca2ZrTa | Alexandria via LeMat-Bulk | GGA-PBEsol | relaxed
data_Ca2ZrTa
_chemical_formula_sum 'Ca4 Zr2 Ta2'
_cell_length_a 3.3532
_cell_length_b 5.0536
_cell_length_c 11.4916
_cell_angle_alpha 90.00
_cell_angle_beta 90.00
_cell_angle_gamma 90.00
_space_group_name_H-M_alt 'P 1'
_space_group_IT_number 1
loop_
_space_group_symop_operation_xyz
'x,y,z'
loop_
_atom_site_label
_atom_site_fract_x
_atom_site_fract_y
_atom_site_fract_z
Ca1 0.0000 0.0000 0.2368
Ca2 0.0000 0.0000 0.7632
Ca3 0.5000 0.5000 0.2368
Ca4 0.5000 0.5000 0.7632
Zr1 0.0000 0.5000 0.5000
Zr2 0.5000 0.0000 0.5000
Ta1 0.0000 0.5000 0.0000
Ta2 0.5000 0.0000 0.0000
# **DFT formation energy**: 662 meV per atom
# **M_tot**: 0.00 μB/f.u.
# **V**: 24.34 A^3/atom
# **Symmetry**: Cmmm, No. 65
# **ρ**: 6.01 g/cm3
# **Distance to the lowest polymorph of the same formula**: 23.5 kJ per mole of atoms

---

# Ca2Tc | Alexandria via LeMat-Bulk | GGA-PBEsol | relaxed
data_Ca2Tc
_chemical_formula_sum 'Ca8 Tc4'
_cell_length_a 11.5581
_cell_length_b 3.6790
_cell_length_c 8.3557
_cell_angle_alpha 90.00
_cell_angle_beta 110.13
_cell_angle_gamma 90.00
_space_group_name_H-M_alt 'P 1'
_space_group_IT_number 1
loop_
_space_group_symop_operation_xyz
'x,y,z'
loop_
_atom_site_label
_atom_site_fract_x
_atom_site_fract_y
_atom_site_fract_z
Ca1 0.0110 0.0000 0.1961
Ca2 0.1732 0.5000 0.6397
Ca3 0.3268 0.0000 0.3603
Ca4 0.4890 0.5000 0.8039
Ca5 0.5110 0.5000 0.1961
Ca6 0.6732 0.0000 0.6397
Ca7 0.8268 0.5000 0.3603
Ca8 0.9890 0.0000 0.8039
Tc1 0.2045 0.5000 0.0376
Tc2 0.2955 0.0000 0.9624
Tc3 0.7045 0.0000 0.0376
Tc4 0.7955 0.5000 0.9624
# **DFT formation energy**: 282 meV per atom
# **M_tot**: 0.00 μB/f.u.
# **V**: 27.80 A^3/atom
# **Symmetry**: C2/m, No. 12
# **ρ**: 3.55 g/cm3
# **Distance to the lowest polymorph of the same formula**: 0.0 kJ per mole of atoms